1.
Below is a geometry-optimized Sr3Al4Cd structure, with properties calculated at the PBE level.

abc: 6.3496 6.0383 12.3817
angles: 90.00 90.00 90.00
Last column: nearest neighbours and their distance in Å.
Element x y z (fractional)
1 Sr 0.5431 0.0000 0.0000  2 Cd 3.16, 4 Al 3.46-3.49
2 Sr 0.4569 0.5000 0.5000  2 Cd 3.16, 4 Al 3.46-3.49
3 Sr 0.8105 0.5000 0.7504  1 Cd 3.18, 5 Al 3.53-3.56
4 Sr 0.8105 0.5000 0.2496  1 Cd 3.18, 5 Al 3.53-3.56
5 Sr 0.1895 0.0000 0.7496  1 Cd 3.18, 5 Al 3.53-3.56
6 Sr 0.1895 0.0000 0.2504  1 Cd 3.18, 5 Al 3.53-3.56
7 Al 0.3076 0.5000 0.8840  3 Al 2.72-2.87, 1 Cd 2.82
8 Al 0.3076 0.5000 0.1160  3 Al 2.72-2.87, 1 Cd 2.82
9 Al 0.0463 0.2339 0.0000  3 Al 2.72-2.82, 1 Cd 2.77
10 Al 0.0463 0.7661 0.0000  3 Al 2.72-2.82, 1 Cd 2.77
11 Al 0.9537 0.7339 0.5000  3 Al 2.72-2.82, 1 Cd 2.77
12 Al 0.9537 0.2661 0.5000  3 Al 2.72-2.82, 1 Cd 2.77
13 Al 0.6924 0.0000 0.3840  3 Al 2.72-2.87, 1 Cd 2.82
14 Al 0.6924 0.0000 0.6160  3 Al 2.72-2.87, 1 Cd 2.82
15 Cd 0.6902 0.5000 0.0000  4 Al 2.77-2.82
16 Cd 0.3098 0.0000 0.5000  4 Al 2.77-2.82

Summary:
Calculated density (Mg/m³): 3.38
DOS(E_F) (states/eV per cell): 4.67
Formation energy from the elements (eV/atom): -0.1903



2.
Below is a geometry-optimized SrAlCd3 structure, with properties calculated at the PBE level.

abc: 4.6530 4.6530 6.8366
angles: 70.19 70.19 89.95
Last column: nearest neighbours and their distance in Å.
Element x y z (fractional)
1 Sr 0.6026 0.6026 0.7947  12 Cd 3.53-3.89, 4 Al 3.56-3.58
2 Al 0.2181 0.2181 0.5651  5 Cd 2.69-2.78
3 Cd 0.3440 0.8436 0.3125  2 Al 2.78, 2 Cd 2.94
4 Cd 0.8436 0.3440 0.3125  2 Al 2.78, 2 Cd 2.94
5 Cd 0.9930 0.9930 0.0127  1 Al 2.69, 4 Cd 2.94

Summary:
Calculated density (Mg/m³): 5.78
Distance to the lowest polymorph of the same formula (eV per formula unit): 0.00
DOS(E_F) (states/eV per cell): 2.45
Formation energy from the elements (eV/atom): -0.2278



3.
Below is a geometry-optimized SrAl2Cd structure, with properties calculated at the PBE level.

abc: 4.9622 6.0744 7.0578
angles: 90.00 90.00 114.11
Last column: nearest neighbours and their distance in Å.
Element x y z (fractional)
1 Sr 0.9046 0.8093 0.2500  10 Al 3.31-3.67, 3 Cd 3.32-3.34
2 Sr 0.0954 0.1907 0.7500  10 Al 3.31-3.67, 3 Cd 3.32-3.34
3 Al 0.3845 0.7689 0.9408  2 Al 2.69-2.70, 3 Cd 2.95-2.99
4 Al 0.6155 0.2311 0.0592  2 Al 2.69-2.70, 3 Cd 2.95-2.99
5 Al 0.6155 0.2311 0.4408  2 Al 2.69-2.70, 3 Cd 2.95-2.99
6 Al 0.3845 0.7689 0.5592  2 Al 2.69-2.70, 3 Cd 2.95-2.99
7 Cd 0.2055 0.4110 0.2500  6 Al 2.95-2.99
8 Cd 0.7945 0.5890 0.7500  6 Al 2.95-2.99

Summary:
Calculated density (Mg/m³): 4.34
DOS(E_F) (states/eV per cell): 2.93
Formation energy from the elements (eV/atom): -0.1900